! LaSc2Sn, relaxed, DFT PBE-GGA; values from VASP
&SYSTEM
  ibrav = 0, nat = 8, ntyp = 3
/
ATOMIC_SPECIES
Sc 44.96 Sc.upf
Sn 118.71 Sn.upf
La 138.91 La.upf
CELL_PARAMETERS angstrom
4.582 0.000 0.000
0.000 4.582 0.000
2.291 2.291 10.787
ATOMIC_POSITIONS crystal
Sc 0.607 0.125 0.250
Sc 0.143 0.625 0.250
Sc 0.375 0.393 0.750
Sc 0.875 0.857 0.750
Sn 0.500 0.500 0.000
Sn 0.250 0.750 0.500
La 0.000 0.000 0.000
La 0.750 0.250 0.500
! space-group type	No. 122
! energy relative to the elements	-0.097	eV per atom
! electronic total energy	-43.96	eV per cell

---

! NiIr2Br, relaxed, DFT PBE-GGA; values from VASP
&SYSTEM
  ibrav = 0, nat = 4, ntyp = 3
/
ATOMIC_SPECIES
Br 79.90 Br.upf
Ir 192.22 Ir.upf
Ni 58.69 Ni.upf
CELL_PARAMETERS angstrom
2.857 0.000 0.000
0.000 2.857 0.000
0.000 0.000 7.596
ATOMIC_POSITIONS crystal
Br 0.500 0.500 0.732
Ir 0.000 0.000 0.029
Ir 0.500 0.500 0.259
Ni 0.000 0.000 0.480
! space-group type	No. 99
! raw formation energy	0.616	eV/atom
! polymorph energy (0 for the lowest one)	147	meV per atom
! electronic total energy	-22.71	eV per cell

---

! Cu2TeH2, relaxed, DFT PBE-GGA; values from VASP
&SYSTEM
  ibrav = 0, nat = 5, ntyp = 3
/
ATOMIC_SPECIES
H 1.01 H.upf
Te 127.60 Te.upf
Cu 63.55 Cu.upf
CELL_PARAMETERS angstrom
-1.255 -2.702 -1.438
1.394 -1.888 2.331
-5.189 -1.757 4.025
ATOMIC_POSITIONS crystal
H 0.750 0.250 0.500
H 0.250 0.750 0.500
Te 0.000 0.000 0.000
Cu 0.206 0.206 0.588
Cu 0.794 0.794 0.412
! space-group type	No. 139
! polymorph energy (0 for the lowest one)	0	meV per atom
! electronic total energy	-17.52	eV per cell

---

! Ac2Hg3Ge, relaxed, DFT PBE-GGA; values from VASP
&SYSTEM
  ibrav = 0, nat = 12, ntyp = 3
/
ATOMIC_SPECIES
Ac 227.00 Ac.upf
Hg 200.59 Hg.upf
Ge 72.64 Ge.upf
CELL_PARAMETERS angstrom
-2.544 -5.887 0.244
5.199 -3.532 1.297
-2.766 5.679 7.637
ATOMIC_POSITIONS crystal
Ac 0.750 0.250 0.500
Ac 0.756 0.244 0.000
Ac 0.250 0.750 0.500
Ac 0.244 0.756 0.000
Hg 0.828 0.828 0.169
Hg 0.659 0.659 0.831
Hg 0.172 0.172 0.831
Hg 0.341 0.341 0.169
Hg 0.170 0.170 0.339
Hg 0.830 0.830 0.661
Ge 0.667 0.667 0.334
Ge 0.333 0.333 0.666
! space-group type	No. 69
! energy relative to the elements	-0.492	eV per atom
! polymorph energy (0 for the lowest one)	0	meV per atom
! electronic total energy	-33.38	eV per cell

---

! NaPuIO6, relaxed, DFT PBE-GGA; values from VASP
&SYSTEM
  ibrav = 0, nat = 18, ntyp = 4
/
ATOMIC_SPECIES
Na 22.99 Na.upf
Pu 244.00 Pu.upf
I 126.90 I.upf
O 16.00 O.upf
CELL_PARAMETERS angstrom
5.646 0.000 0.000
-2.823 4.889 0.000
0.000 0.000 10.177
ATOMIC_POSITIONS crystal
Na 0.000 0.000 0.000
Na 0.000 0.000 0.500
Pu 0.333 0.667 0.250
Pu 0.667 0.333 0.750
I 0.667 0.333 0.250
I 0.333 0.667 0.750
O 0.632 0.631 0.143
O 0.999 0.368 0.143
O 0.368 0.999 0.643
O 0.001 0.632 0.857
O 0.369 0.368 0.357
O 0.999 0.631 0.357
O 0.631 0.999 0.857
O 0.632 0.001 0.357
O 0.001 0.369 0.643
O 0.369 0.001 0.143
O 0.631 0.632 0.643
O 0.368 0.369 0.857
! space-group type	No. 163
! raw formation energy	-1.461	eV/atom
! electronic total energy	-120.19	eV per cell

---

! LaPm12Tl4O3, relaxed, DFT PBE-GGA; values from VASP
&SYSTEM
  ibrav = 0, nat = 20, ntyp = 4
/
ATOMIC_SPECIES
La 138.91 La.upf
Pm 145.00 Pm.upf
Tl 204.38 Tl.upf
O 16.00 O.upf
CELL_PARAMETERS angstrom
-6.953 -4.516 3.013
6.288 -5.638 -2.547
3.129 5.198 6.403
ATOMIC_POSITIONS crystal
La 0.000 0.000 0.000
Pm 0.250 0.500 0.750
Pm 0.728 0.000 0.728
Pm 0.272 0.000 0.272
Pm 0.750 0.500 0.250
Pm 0.728 0.728 0.000
Pm 0.272 0.272 0.000
Pm 0.750 0.250 0.500
Pm 0.250 0.750 0.500
Pm 0.500 0.250 0.750
Pm 0.000 0.728 0.728
Pm 0.500 0.750 0.250
Pm 0.000 0.272 0.272
Tl 0.500 0.500 0.500
Tl 0.000 0.000 0.500
Tl 0.500 0.000 0.000
Tl 0.000 0.500 0.000
O 0.500 0.000 0.500
O 0.500 0.500 0.000
O 0.000 0.500 0.500
! space-group type	No. 229
! raw formation energy	-0.766	eV/atom
! electronic total energy	-101.59	eV per cell

---

! Er2NiTe, relaxed, DFT PBE-GGA; values from VASP
&SYSTEM
  ibrav = 0, nat = 8, ntyp = 3
/
ATOMIC_SPECIES
Er 167.26 Er.upf
Ni 58.69 Ni.upf
Te 127.60 Te.upf
CELL_PARAMETERS angstrom
4.321 0.000 0.000
0.000 3.925 -0.697
0.000 0.000 11.397
ATOMIC_POSITIONS crystal
Er 0.750 0.656 0.311
Er 0.250 0.344 0.689
Er 0.750 0.944 0.888
Er 0.250 0.056 0.112
Ni 0.250 0.467 0.934
Ni 0.750 0.533 0.066
Te 0.250 0.195 0.391
Te 0.750 0.805 0.609
! space-group type	No. 63
! raw formation energy	-0.833	eV/atom
! polymorph energy (0 for the lowest one)	0	meV per atom
! electronic total energy	-42.76	eV per cell

---

! RbPtPb6, relaxed, DFT PBE-GGA; values from VASP
&SYSTEM
  ibrav = 0, nat = 8, ntyp = 3
/
ATOMIC_SPECIES
Rb 85.47 Rb.upf
Pt 195.08 Pt.upf
Pb 207.20 Pb.upf
CELL_PARAMETERS angstrom
-0.995 4.599 1.626
-2.128 -1.902 4.079
9.445 0.259 5.049
ATOMIC_POSITIONS crystal
Rb 0.000 0.000 0.000
Pt 0.000 0.000 0.500
Pb 0.500 0.000 0.656
Pb 0.000 0.500 0.656
Pb 0.500 0.500 0.154
Pb 0.500 0.500 0.846
Pb 0.000 0.500 0.344
Pb 0.500 0.000 0.344
! space-group type	No. 123
! energy relative to the elements	-0.100	eV per atom
! electronic total energy	-30.06	eV per cell